{"formula": "ErPuSn", "functional": "PBE", "state": "optimized geometry", "cell": [[5.427, 0.000, 0.000], [-2.713, 4.700, 0.000], [0.000, 0.000, 6.262]], "species": ["Er", "Er", "Pu", "Pu", "Sn", "Sn"], "fractional_positions": [[0.333, 0.667, 0.250], [0.667, 0.333, 0.750], [0.000, 0.000, 0.000], [0.000, 0.000, 0.500], [0.333, 0.667, 0.750], [0.667, 0.333, 0.250]], "e_above_lowest_polymorph_ev_per_atom": 0.000, "magnetic_moment_mub_per_cell": 13.09, "spacegroup": "P6_3/mmc, No. 194", "ef_ev_per_atom": -0.470}

---

{"formula": "Tb2ZnRh", "functional": "PBE", "state": "optimized geometry", "cell": [[3.512, 0.000, 0.000], [0.000, 3.512, 0.000], [0.000, 0.000, 7.063]], "species": ["Tb", "Tb", "Zn", "Rh"], "fractional_positions": [[0.000, 0.000, 0.235], [0.000, 0.000, 0.765], [0.500, 0.500, 0.500], [0.500, 0.500, 0.000]], "magnetic_moment_mub_per_cell": 0.00, "spacegroup": "P4/mmm, No. 123", "ef_ev_per_atom": -0.597}

---

{"formula": "Nd2Pb3", "functional": "PBE", "state": "optimized geometry", "cell": [[8.012, 0.000, 0.000], [0.000, 8.012, 0.000], [0.000, 0.000, 4.741]], "species": ["Nd", "Nd", "Nd", "Nd", "Pb", "Pb", "Pb", "Pb", "Pb", "Pb"], "fractional_positions": [[0.142, 0.694, 0.000], [0.306, 0.142, 0.000], [0.694, 0.858, 0.000], [0.858, 0.306, 0.000], [0.000, 0.000, 0.500], [0.176, 0.396, 0.500], [0.396, 0.824, 0.500], [0.500, 0.500, 0.000], [0.604, 0.176, 0.500], [0.824, 0.604, 0.500]], "e_above_lowest_polymorph_ev_per_atom": 0.000, "magnetic_moment_mub_per_cell": 0.00, "spacegroup": "P4/m, No. 83", "ef_ev_per_atom": -0.493}

---

{"formula": "La4CBr2Cl", "functional": "PBE", "state": "optimized geometry", "cell": [[7.169, 0.000, 0.000], [0.000, 4.008, 0.000], [-2.241, 0.000, 7.384]], "species": ["La", "La", "La", "La", "C", "Br", "Br", "Cl"], "fractional_positions": [[0.205, 0.000, 0.192], [0.232, 0.500, 0.797], [0.768, 0.500, 0.203], [0.795, 0.000, 0.808], [0.000, 0.500, 0.000], [0.000, 0.000, 0.500], [0.500, 0.500, 0.500], [0.500, 0.000, 0.000]], "magnetic_moment_mub_per_cell": 0.00, "spacegroup": "P2/m, No. 10", "e_form_raw_ev_per_atom": -1.165}